Entry from Alexandria via LeMat-Bulk: an optimized crystal structure of CdHOF (GGA-PBE).

Lattice parameters (Å, degrees): 3.5172 5.6158 4.8854 90.00 90.00 90.00
With the nearest neighbours (Å) after each atom.
Space group Pmn2_1 (No. 31)
Inequivalent atoms, fractional coordinates:
Cd 0.0000 0.2321 0.0000  3 O 2.28-2.29, 3 F 2.38
H 0.0000 0.7696 0.9271  1 O 0.99
O 0.0000 0.8784 0.7674  1 H 0.99
F 0.0000 0.6072 0.2285  1 H 1.73

The offset from the most stable computed form is 0.0 meV/atom. The density of states at the Fermi level is 0.0 states/eV/cell.